First-principles (GGA-PBE) data for a relaxed CeHoBi2 crystal, as listed in Alexandria.

Values from the calculation:
The calculation puts the density of states at the Fermi level at 20.7 states/eV per cell. Its formation energy is -815 meV/atom. The energy above the most stable polymorph in this dataset comes out at 0 meV/atom. The total magnetization comes out at 2.6 μB/cell.

a = 4.5356 Å, b = 4.5356 Å, c = 22.1731 Å
α = 90.00°, β = 90.00°, γ = 120.00°
With the nearest neighbours (Å) after each atom.
Fractional coordinates of all 12 atoms:
Ce1 0.0000 0.0000 0.0000  6 Bi 3.24
Ce2 0.3333 0.6667 0.6667  6 Bi 3.24
Ce3 0.6667 0.3333 0.3333  6 Bi 3.24
Ho1 0.0000 0.0000 0.5000  6 Bi 3.17
Ho2 0.3333 0.6667 0.1667  6 Bi 3.17
Ho3 0.6667 0.3333 0.8333  6 Bi 3.17
Bi1 0.0000 0.0000 0.2473  3 Ho 3.17, 3 Ce 3.24
Bi2 0.0000 0.0000 0.7527  3 Ho 3.17, 3 Ce 3.24
Bi3 0.3333 0.6667 0.4193  3 Ho 3.17, 3 Ce 3.24
Bi4 0.3333 0.6667 0.9140  3 Ho 3.17, 3 Ce 3.24
Bi5 0.6667 0.3333 0.0860  3 Ho 3.17, 3 Ce 3.24
Bi6 0.6667 0.3333 0.5807  3 Ho 3.17, 3 Ce 3.24

First-principles (GGA-PBE) data for a relaxed Ce2HoBi crystal, as listed in Alexandria.

Values from the calculation:
The calculation puts the density of states at the Fermi level at 10.4 states/eV per cell. Its formation energy is -363 meV/atom. The energy above the most stable polymorph in this dataset comes out at 49 meV/atom. The total magnetization comes out at 1.3 μB/cell.

a = 4.6274 Å, b = 4.6274 Å, c = 5.2051 Å
α = 90.00°, β = 90.00°, γ = 90.00°
With the nearest neighbours (Å) after each atom.
Fractional coordinates of all 4 atoms:
Ce1 0.0000 0.5000 0.0000  4 Ce 3.27, 4 Ho 3.48, 4 Bi 3.48
Ce2 0.5000 0.0000 0.0000  4 Ce 3.27, 4 Ho 3.48, 4 Bi 3.48
Ho1 0.0000 0.0000 0.5000  4 Bi 3.27, 8 Ce 3.48
Bi1 0.5000 0.5000 0.5000  4 Ho 3.27, 8 Ce 3.48

First-principles (GGA-PBE) data for a relaxed Ce4HoBi6 crystal, as listed in Alexandria.

Values from the calculation:
The calculation puts the density of states at the Fermi level at 49.8 states/eV per cell. Its formation energy is -659 meV/atom. The total magnetization comes out at 5.0 μB/cell.

a = 8.9697 Å, b = 8.9697 Å, c = 8.9697 Å
α = 88.66°, β = 88.66°, γ = 88.66°
With the nearest neighbours (Å) after each atom.
Fractional coordinates of all 22 atoms:
Ce1 0.1390 0.7500 0.3610  8 Bi 3.27-3.45
Ce2 0.2500 0.2500 0.2500  6 Bi 3.30
Ce3 0.2500 0.6390 0.8610  8 Bi 3.27-3.45
Ce4 0.3610 0.1390 0.7500  8 Bi 3.27-3.45
Ce5 0.6390 0.8610 0.2500  8 Bi 3.27-3.45
Ce6 0.7500 0.3610 0.1390  8 Bi 3.27-3.45
Ce7 0.7500 0.7500 0.7500  6 Bi 3.30
Ce8 0.8610 0.2500 0.6390  8 Bi 3.27-3.45
Ho1 0.0000 0.0000 0.0000  6 Bi 3.07
Ho2 0.5000 0.5000 0.5000  6 Bi 3.07
Bi1 0.0656 0.9211 0.6736  1 Ho 3.07, 4 Ce 3.27-3.42
Bi2 0.0789 0.3264 0.9344  1 Ho 3.07, 4 Ce 3.27-3.42
Bi3 0.1736 0.4211 0.5656  1 Ho 3.07, 4 Ce 3.27-3.42
Bi4 0.3264 0.9344 0.0789  1 Ho 3.07, 4 Ce 3.27-3.42
Bi5 0.4211 0.5656 0.1736  1 Ho 3.07, 4 Ce 3.27-3.42
Bi6 0.4344 0.8264 0.5789  1 Ho 3.07, 4 Ce 3.27-3.42
Bi7 0.5656 0.1736 0.4211  1 Ho 3.07, 4 Ce 3.27-3.42
Bi8 0.5789 0.4344 0.8264  1 Ho 3.07, 4 Ce 3.27-3.42
Bi9 0.6736 0.0656 0.9211  1 Ho 3.07, 4 Ce 3.27-3.42
Bi10 0.8264 0.5789 0.4344  1 Ho 3.07, 4 Ce 3.27-3.42
Bi11 0.9211 0.6736 0.0656  1 Ho 3.07, 4 Ce 3.27-3.42
Bi12 0.9344 0.0789 0.3264  1 Ho 3.07, 4 Ce 3.27-3.42

First-principles (GGA-PBE) data for a relaxed Ce2HoBi2 crystal, as listed in Alexandria.

Values from the calculation:
The calculation puts the density of states at the Fermi level at 15.8 states/eV per cell. Its formation energy is -374 meV/atom. The total magnetization comes out at 0.9 μB/cell.

a = 6.0141 Å, b = 6.0149 Å, c = 8.6898 Å
α = 90.00°, β = 110.12°, γ = 90.00°
With the nearest neighbours (Å) after each atom.
Fractional coordinates of all 10 atoms:
Ce1 0.0000 0.2487 0.0000  4 Ce 2.99-3.02, 4 Bi 3.27
Ce2 0.0000 0.7513 0.0000  4 Ce 2.99-3.02, 4 Bi 3.27
Ce3 0.5000 0.2513 0.0000  4 Ce 2.99-3.02, 4 Bi 3.27
Ce4 0.5000 0.7487 0.0000  4 Ce 2.99-3.02, 4 Bi 3.27
Ho1 0.0000 0.5000 0.5000  8 Bi 3.39-3.42
Ho2 0.5000 0.0000 0.5000  8 Bi 3.39-3.42
Bi1 0.0997 0.0000 0.6959  1 Bi 3.20, 4 Ce 3.27, 4 Ho 3.39-3.42
Bi2 0.4003 0.5000 0.3041  1 Bi 3.20, 4 Ce 3.27, 4 Ho 3.39-3.42
Bi3 0.5997 0.5000 0.6959  1 Bi 3.20, 4 Ce 3.27, 4 Ho 3.39-3.42
Bi4 0.9003 0.0000 0.3041  1 Bi 3.20, 4 Ce 3.27, 4 Ho 3.39-3.42

Q: Which formula does entry 1 have?
A: CeHoBi2